Entry 1:
## La4Tb3Pm5 (PBE)

Data for a relaxed structure of La4Tb3Pm5.

Properties
* M_tot: 0.00 μB/f.u.
* E_form: 2.40 eV per formula unit
* density: 6.85 g/cm³

Cell and atoms, written as CIF:
```
data_La4Tb3Pm5
_chemical_formula_sum 'La4 Tb3 Pm5'
_cell_length_a 8.804
_cell_length_b 8.804
_cell_length_c 9.524
_cell_angle_alpha 115.06
_cell_angle_beta 115.06
_cell_angle_gamma 40.30
_symmetry_space_group_name_H-M 'P 1'
_symmetry_Int_Tables_number 1
_symmetry_space_group_name_Hall 'P 1'
loop_
_atom_site_label
_atom_site_fract_x
_atom_site_fract_y
_atom_site_fract_z
La1 0.084 0.084 0.440
La2 0.216 0.216 0.877
La3 0.784 0.784 0.123
La4 0.916 0.916 0.560
Tb1 0.209 0.209 0.227
Tb2 0.500 0.500 0.000
Tb3 0.791 0.791 0.773
Pm1 0.000 0.000 0.000
Pm2 0.329 0.329 0.610
Pm3 0.426 0.426 0.298
Pm4 0.574 0.574 0.702
Pm5 0.671 0.671 0.390
```

Entry 2:
## LaTb3Pm (PBE)

Data for a relaxed structure of LaTb3Pm.

Properties
* M_tot: 0.00 μB/f.u.
* offset from the most stable computed form: 292 meV/atom
* E_form: 1.57 eV per formula unit
* density: 6.92 g/cm³

Cell and atoms, written as CIF:
```
data_LaTb3Pm
_chemical_formula_sum 'La2 Tb6 Pm2'
_cell_length_a 3.668
_cell_length_b 11.744
_cell_length_c 8.676
_cell_angle_alpha 90.00
_cell_angle_beta 102.17
_cell_angle_gamma 90.00
_symmetry_space_group_name_H-M 'P 1'
_symmetry_Int_Tables_number 1
_symmetry_space_group_name_Hall 'P 1'
loop_
_atom_site_label
_atom_site_fract_x
_atom_site_fract_y
_atom_site_fract_z
La1 0.188 0.250 0.377
La2 0.812 0.750 0.623
Tb1 0.150 0.750 0.296
Tb2 0.344 0.003 0.689
Tb3 0.344 0.497 0.689
Tb4 0.656 0.503 0.311
Tb5 0.656 0.997 0.311
Tb6 0.850 0.250 0.704
Pm1 0.490 0.750 0.969
Pm2 0.510 0.250 0.031
```

Entry 3:
## La2Tb3Pm2 (PBE)

Data for a relaxed structure of La2Tb3Pm2.

Properties
* M_tot: 0.00 μB/f.u.
* offset from the most stable computed form: 3 meV/atom
* E_form: 0.88 eV per formula unit
* density: 7.21 g/cm³

Cell and atoms, written as CIF:
```
data_La2Tb3Pm2
_chemical_formula_sum 'La2 Tb3 Pm2'
_cell_length_a 8.765
_cell_length_b 8.765
_cell_length_c 8.893
_cell_angle_alpha 116.06
_cell_angle_beta 116.06
_cell_angle_gamma 23.20
_symmetry_space_group_name_H-M 'P 1'
_symmetry_Int_Tables_number 1
_symmetry_space_group_name_Hall 'P 1'
loop_
_atom_site_label
_atom_site_fract_x
_atom_site_fract_y
_atom_site_fract_z
La1 0.080 0.080 0.207
La2 0.920 0.920 0.793
Tb1 0.000 0.000 0.500
Tb2 0.220 0.220 0.645
Tb3 0.780 0.780 0.355
Pm1 0.360 0.360 0.094
Pm2 0.640 0.640 0.906
```

Entry 4:
## LaTb6Pm4 (PBE)

Data for a relaxed structure of LaTb6Pm4.

Properties
* M_tot: 0.00 μB/f.u.
* offset from the most stable computed form: 0 meV/atom
* E_form: 1.64 eV per formula unit
* density: 7.33 g/cm³

Cell and atoms, written as CIF:
```
data_LaTb6Pm4
_chemical_formula_sum 'La1 Tb6 Pm4'
_cell_length_a 11.086
_cell_length_b 11.086
_cell_length_c 3.562
_cell_angle_alpha 90.00
_cell_angle_beta 90.00
_cell_angle_gamma 120.00
_symmetry_space_group_name_H-M 'P 1'
_symmetry_Int_Tables_number 1
_symmetry_space_group_name_Hall 'P 1'
loop_
_atom_site_label
_atom_site_fract_x
_atom_site_fract_y
_atom_site_fract_z
La1 0.000 0.000 0.000
Tb1 0.006 0.503 0.000
Tb2 0.171 0.342 0.500
Tb3 0.171 0.829 0.500
Tb4 0.497 0.503 0.000
Tb5 0.497 0.994 0.000
Tb6 0.658 0.829 0.500
Pm1 0.333 0.667 0.000
Pm2 0.394 0.197 0.500
Pm3 0.803 0.197 0.500
Pm4 0.803 0.606 0.500
```

Entry 5:
## La3TbPm8 (PBE)

Data for a relaxed structure of La3TbPm8.

Properties
* M_tot: 0.00 μB/f.u.
* E_form: 6.40 eV per formula unit
* density: 6.30 g/cm³

Cell and atoms, written as CIF:
```
data_La3TbPm8
_chemical_formula_sum 'La3 Tb1 Pm8'
_cell_length_a 8.537
_cell_length_b 8.537
_cell_length_c 8.537
_cell_angle_alpha 117.12
_cell_angle_beta 117.12
_cell_angle_gamma 95.06
_symmetry_space_group_name_H-M 'P 1'
_symmetry_Int_Tables_number 1
_symmetry_space_group_name_Hall 'P 1'
loop_
_atom_site_label
_atom_site_fract_x
_atom_site_fract_y
_atom_site_fract_z
La1 0.000 0.000 0.000
La2 0.250 0.750 0.500
La3 0.750 0.250 0.500
Tb1 0.500 0.500 0.000
Pm1 0.130 0.130 0.756
Pm2 0.247 0.744 0.000
Pm3 0.256 0.256 0.503
Pm4 0.374 0.374 0.244
Pm5 0.626 0.870 0.000
Pm6 0.744 0.247 0.000
Pm7 0.753 0.753 0.497
Pm8 0.870 0.626 0.000
```

Entry 6:
## La2TbPm (PBE)

Data for a relaxed structure of La2TbPm.

Properties
* M_tot: 0.00 μB/f.u.
* offset from the most stable computed form: 10 meV/atom
* E_form: 0.08 eV per formula unit
* density: 6.89 g/cm³

Cell and atoms, written as CIF:
```
data_La2TbPm
_chemical_formula_sum 'La2 Tb1 Pm1'
_cell_length_a 3.702
_cell_length_b 3.702
_cell_length_c 10.232
_cell_angle_alpha 90.00
_cell_angle_beta 90.00
_cell_angle_gamma 90.00
_symmetry_space_group_name_H-M 'P 1'
_symmetry_Int_Tables_number 1
_symmetry_space_group_name_Hall 'P 1'
loop_
_atom_site_label
_atom_site_fract_x
_atom_site_fract_y
_atom_site_fract_z
La1 0.000 0.000 0.247
La2 0.000 0.000 0.753
Tb1 0.500 0.500 0.000
Pm1 0.500 0.500 0.500
```

Entry 7:
## La11Tb9Pm4 (PBE)

Data for a relaxed structure of La11Tb9Pm4.

Properties
* M_tot: 0.00 μB/f.u.
* E_form: 1.58 eV per formula unit
* density: 6.98 g/cm³

Cell and atoms, written as CIF:
```
data_La11Tb9Pm4
_chemical_formula_sum 'La11 Tb9 Pm4'
_cell_length_a 15.614
_cell_length_b 15.614
_cell_length_c 3.747
_cell_angle_alpha 90.00
_cell_angle_beta 90.00
_cell_angle_gamma 112.84
_symmetry_space_group_name_H-M 'P 1'
_symmetry_Int_Tables_number 1
_symmetry_space_group_name_Hall 'P 1'
loop_
_atom_site_label
_atom_site_fract_x
_atom_site_fract_y
_atom_site_fract_z
La1 0.000 0.000 0.000
La2 0.044 0.406 0.000
La3 0.159 0.841 0.000
La4 0.292 0.292 0.000
La5 0.367 0.633 0.000
La6 0.406 0.044 0.000
La7 0.594 0.956 0.000
La8 0.633 0.367 0.000
La9 0.708 0.708 0.000
La10 0.841 0.159 0.000
La11 0.956 0.594 0.000
Tb1 0.067 0.212 0.500
Tb2 0.164 0.634 0.500
Tb3 0.212 0.067 0.500
Tb4 0.366 0.836 0.500
Tb5 0.500 0.500 0.500
Tb6 0.634 0.164 0.500
Tb7 0.788 0.933 0.500
Tb8 0.836 0.366 0.500
Tb9 0.933 0.788 0.500
Pm1 0.243 0.445 0.500
Pm2 0.445 0.243 0.500
Pm3 0.555 0.757 0.500
Pm4 0.757 0.555 0.500
```

Entry 8:
## LaTb4Pm4 (PBE)

Data for a relaxed structure of LaTb4Pm4.

Properties
* M_tot: 0.00 μB/f.u.
* E_form: 0.16 eV per formula unit
* density: 7.42 g/cm³

Cell and atoms, written as CIF:
```
data_LaTb4Pm4
_chemical_formula_sum 'La2 Tb8 Pm8'
_cell_length_a 6.279
_cell_length_b 9.589
_cell_length_c 10.872
_cell_angle_alpha 75.44
_cell_angle_beta 73.22
_cell_angle_gamma 83.72
_symmetry_space_group_name_H-M 'P 1'
_symmetry_Int_Tables_number 1
_symmetry_space_group_name_Hall 'P 1'
loop_
_atom_site_label
_atom_site_fract_x
_atom_site_fract_y
_atom_site_fract_z
La1 0.054 0.084 0.196
La2 0.946 0.916 0.804
Tb1 0.057 0.582 0.693
Tb2 0.169 0.748 0.085
Tb3 0.280 0.916 0.472
Tb4 0.388 0.583 0.362
Tb5 0.612 0.417 0.638
Tb6 0.720 0.084 0.528
Tb7 0.831 0.252 0.915
Tb8 0.943 0.418 0.307
Pm1 0.166 0.253 0.582
Pm2 0.277 0.418 0.971
Pm3 0.390 0.085 0.859
Pm4 0.499 0.252 0.251
Pm5 0.501 0.748 0.749
Pm6 0.610 0.915 0.141
Pm7 0.723 0.582 0.029
Pm8 0.834 0.747 0.418
```

Entry 9:
## La2Tb5Pm4 (PBE)

Data for a relaxed structure of La2Tb5Pm4.

Properties
* M_tot: 0.00 μB/f.u.
* offset from the most stable computed form: 75 meV/atom
* E_form: 1.60 eV per formula unit
* density: 7.21 g/cm³

Cell and atoms, written as CIF:
```
data_La2Tb5Pm4
_chemical_formula_sum 'La2 Tb5 Pm4'
_cell_length_a 9.042
_cell_length_b 9.042
_cell_length_c 6.816
_cell_angle_alpha 99.25
_cell_angle_beta 99.25
_cell_angle_gamma 43.94
_symmetry_space_group_name_H-M 'P 1'
_symmetry_Int_Tables_number 1
_symmetry_space_group_name_Hall 'P 1'
loop_
_atom_site_label
_atom_site_fract_x
_atom_site_fract_y
_atom_site_fract_z
La1 0.200 0.200 0.299
La2 0.800 0.800 0.701
Tb1 0.000 0.000 0.500
Tb2 0.173 0.651 0.094
Tb3 0.349 0.827 0.906
Tb4 0.651 0.173 0.094
Tb5 0.827 0.349 0.906
Pm1 0.244 0.244 0.806
Pm2 0.413 0.413 0.594
Pm3 0.587 0.587 0.406
Pm4 0.756 0.756 0.194
```

Entry 10:
## La12Tb7Pm (PBE)

Data for a relaxed structure of La12Tb7Pm.

Properties
* M_tot: 0.00 μB/f.u.
* offset from the most stable computed form: 111 meV/atom
* E_form: 3.92 eV per formula unit
* density: 6.82 g/cm³

Cell and atoms, written as CIF:
```
data_La12Tb7Pm
_chemical_formula_sum 'La12 Tb7 Pm1'
_cell_length_a 11.539
_cell_length_b 11.539
_cell_length_c 11.539
_cell_angle_alpha 116.67
_cell_angle_beta 116.67
_cell_angle_gamma 116.67
_symmetry_space_group_name_H-M 'P 1'
_symmetry_Int_Tables_number 1
_symmetry_space_group_name_Hall 'P 1'
loop_
_atom_site_label
_atom_site_fract_x
_atom_site_fract_y
_atom_site_fract_z
La1 0.000 0.408 0.592
La2 0.000 0.592 0.408
La3 0.069 0.069 0.425
La4 0.069 0.425 0.069
La5 0.408 0.000 0.592
La6 0.408 0.592 0.000
La7 0.425 0.069 0.069
La8 0.575 0.931 0.931
La9 0.592 0.000 0.408
La10 0.592 0.408 0.000
La11 0.931 0.575 0.931
La12 0.931 0.931 0.575
Tb1 0.000 0.000 0.000
Tb2 0.135 0.385 0.385
Tb3 0.385 0.135 0.385
Tb4 0.385 0.385 0.135
Tb5 0.615 0.615 0.865
Tb6 0.615 0.865 0.615
Tb7 0.865 0.615 0.615
Pm1 0.500 0.500 0.500
```

Entry 11:
## La2Tb4Pm (PBE)

Data for a relaxed structure of La2Tb4Pm.

Properties
* M_tot: 0.00 μB/f.u.
* offset from the most stable computed form: 0 meV/atom
* E_form: 1.66 eV per formula unit
* density: 7.18 g/cm³

Cell and atoms, written as CIF:
```
data_La2Tb4Pm
_chemical_formula_sum 'La2 Tb4 Pm1'
_cell_length_a 11.864
_cell_length_b 11.864
_cell_length_c 11.864
_cell_angle_alpha 157.48
_cell_angle_beta 157.48
_cell_angle_gamma 32.06
_symmetry_space_group_name_H-M 'P 1'
_symmetry_Int_Tables_number 1
_symmetry_space_group_name_Hall 'P 1'
loop_
_atom_site_label
_atom_site_fract_x
_atom_site_fract_y
_atom_site_fract_z
La1 0.098 0.098 0.000
La2 0.902 0.902 0.000
Tb1 0.250 0.750 0.500
Tb2 0.360 0.360 0.000
Tb3 0.640 0.640 0.000
Tb4 0.750 0.250 0.500
Pm1 0.500 0.500 0.000
```

Entry 12:
## La2TbPm8 (PBE)

Data for a relaxed structure of La2TbPm8.

Properties
* M_tot: 0.00 μB/f.u.
* offset from the most stable computed form: 150 meV/atom
* E_form: 1.84 eV per formula unit
* density: 6.85 g/cm³

Cell and atoms, written as CIF:
```
data_La2TbPm8
_chemical_formula_sum 'La2 Tb1 Pm8'
_cell_length_a 7.013
_cell_length_b 7.013
_cell_length_c 9.088
_cell_angle_alpha 90.00
_cell_angle_beta 90.00
_cell_angle_gamma 120.00
_symmetry_space_group_name_H-M 'P 1'
_symmetry_Int_Tables_number 1
_symmetry_space_group_name_Hall 'P 1'
loop_
_atom_site_label
_atom_site_fract_x
_atom_site_fract_y
_atom_site_fract_z
La1 0.333 0.667 0.151
La2 0.667 0.333 0.849
Tb1 0.000 0.000 0.500
Pm1 0.166 0.331 0.830
Pm2 0.166 0.834 0.830
Pm3 0.331 0.166 0.170
Pm4 0.333 0.667 0.504
Pm5 0.667 0.333 0.496
Pm6 0.669 0.834 0.830
Pm7 0.834 0.166 0.170
Pm8 0.834 0.669 0.170
```

Question: What is the formula in the sixth record?
Answer: La2TbPm